Entry 1:
DFT (PBE-GGA) results for TlFeCl2 after structural relaxation.

Cell lengths 11.634, 3.391, 5.946 Å; angles 90.00, 115.88, 90.00 degrees
Atoms (fractional coordinates):
1 Tl 0.000 0.000 0.000
2 Tl 0.500 0.500 0.000
3 Fe 0.264 0.000 0.520
4 Fe 0.764 0.500 0.520
5 Cl 0.171 0.500 0.667
6 Cl 0.345 0.500 0.350
7 Cl 0.671 0.000 0.667
8 Cl 0.845 0.000 0.350

Properties
E_form (uncorrected) = -168 kJ/mol of formula units
energy above the most stable polymorph in this dataset = 0.005 eV per atom

Entry 2:
DFT (PBE-GGA) results for TlFeCl2 after structural relaxation.

Cell lengths 4.396, 3.820, 6.758 Å; angles 90.00, 108.94, 90.00 degrees
Atoms (fractional coordinates):
1 Tl 0.000 0.000 0.000
2 Fe 0.799 0.500 0.602
3 Cl 0.367 0.500 0.737
4 Cl 0.695 0.000 0.390

Properties
E_form (uncorrected) = -170 kJ/mol of formula units
energy above the most stable polymorph in this dataset = 0.000 eV per atom

Entry 3:
DFT (PBE-GGA) results for Tl2FeCl8 after structural relaxation.

Cell lengths 7.732, 7.732, 9.389 Å; angles 106.29, 106.29, 51.39 degrees
Atoms (fractional coordinates):
1 Tl 0.237 0.237 0.323
2 Tl 0.763 0.763 0.677
3 Fe 0.000 0.000 0.000
4 Cl 0.134 0.669 0.865
5 Cl 0.205 0.205 0.566
6 Cl 0.331 0.866 0.135
7 Cl 0.395 0.395 0.272
8 Cl 0.605 0.605 0.728
9 Cl 0.669 0.134 0.865
10 Cl 0.795 0.795 0.434
11 Cl 0.866 0.331 0.135

Properties
E_form (uncorrected) = -647 kJ/mol of formula units

Entry 4:
DFT (PBE-GGA) results for Tl2FeCl after structural relaxation.

Cell lengths 7.410, 7.410, 7.410 Å; angles 90.00, 90.00, 90.00 degrees
Atoms (fractional coordinates):
1 Tl 0.000 0.000 0.000
2 Tl 0.000 0.500 0.500
3 Tl 0.250 0.250 0.250
4 Tl 0.250 0.750 0.750
5 Tl 0.500 0.000 0.500
6 Tl 0.500 0.500 0.000
7 Tl 0.750 0.250 0.750
8 Tl 0.750 0.750 0.250
9 Fe 0.250 0.250 0.750
10 Fe 0.250 0.750 0.250
11 Fe 0.750 0.250 0.250
12 Fe 0.750 0.750 0.750
13 Cl 0.000 0.000 0.500
14 Cl 0.000 0.500 0.000
15 Cl 0.500 0.000 0.000
16 Cl 0.500 0.500 0.500

Properties
E_form (uncorrected) = 171 kJ/mol of formula units
energy above the most stable polymorph in this dataset = 0.455 eV per atom

Question: Which formula does entry 3 have?
Answer: Tl2FeCl8

Question: The highest E_form (uncorrected) belongs to which entry?
Answer: Tl2FeCl